Record 1
Entry from the Alexandria database: a relaxed structure of LaCuPb (PBE).

Lattice parameters (Å, degrees): 4.7538 4.7538 7.8837 90.00 90.00 119.97
Positions (direct):
La1 0.0002 0.9998 0.0000
La2 0.9998 0.0002 0.5000
Cu1 0.3325 0.6675 0.6897
Cu2 0.6675 0.3325 0.1897
Pb1 0.3337 0.6663 0.2698
Pb2 0.6663 0.3337 0.7698



Record 2
Entry from the Alexandria database: a relaxed structure of LaCu3Pb (PBE).

The excess energy over the best structure of this formula in the dataset is 556 meV/atom.

Lattice parameters (Å, degrees): 5.2337 5.2337 5.2337 90.00 90.00 90.00
Positions (direct):
La1 0.0000 0.0000 0.0000
Cu1 0.0000 0.0000 0.5000
Cu2 0.0000 0.5000 0.0000
Cu3 0.5000 0.0000 0.0000
Pb1 0.5000 0.5000 0.5000



Record 3
Entry from the Alexandria database: a relaxed structure of LaCuPb (PBE).

Lattice parameters (Å, degrees): 7.8776 4.7992 8.0726 90.00 90.00 90.00
Positions (direct):
La1 0.0100 0.2500 0.2184
La2 0.4900 0.7500 0.7184
La3 0.5100 0.2500 0.2816
La4 0.9900 0.7500 0.7816
Cu1 0.1876 0.7500 0.4208
Cu2 0.3124 0.2500 0.9208
Cu3 0.6876 0.7500 0.0792
Cu4 0.8124 0.2500 0.5792
Pb1 0.2091 0.2500 0.5917
Pb2 0.2909 0.7500 0.0917
Pb3 0.7091 0.2500 0.9083
Pb4 0.7909 0.7500 0.4083



Record 4
Entry from the Alexandria database: a relaxed structure of LaCuPb2 (PBE).

The excess energy over the best structure of this formula in the dataset is 134 meV/atom.

Lattice parameters (Å, degrees): 5.3815 5.3815 5.3815 60.00 60.00 60.00
Positions (direct):
La1 0.0000 0.0000 0.0000
Cu1 0.7500 0.7500 0.7500
Pb1 0.2500 0.2500 0.2500
Pb2 0.5000 0.5000 0.5000



Record 5
Entry from the Alexandria database: a relaxed structure of LaCuPb (PBE).

Lattice parameters (Å, degrees): 8.6074 8.6074 8.6074 31.97 31.97 31.97
Positions (direct):
La1 0.0000 0.0000 0.0000
La2 0.1666 0.1666 0.1666
Cu1 0.2885 0.2885 0.2885
Cu2 0.7532 0.7532 0.7532
Pb1 0.4121 0.4121 0.4121
Pb2 0.5829 0.5829 0.5829



Record 6
Entry from the Alexandria database: a relaxed structure of La2Cu2Pb (PBE).

Lattice parameters (Å, degrees): 5.7224 5.7224 5.7224 119.56 119.56 90.76
Positions (direct):
La1 0.2500 0.7500 0.5000
La2 0.7500 0.2500 0.5000
Cu1 0.1418 0.1418 0.0000
Cu2 0.8582 0.8582 0.0000
Pb1 0.5000 0.5000 0.0000



Record 7
Entry from the Alexandria database: a relaxed structure of LaCuPb (PBE).

Lattice parameters (Å, degrees): 6.1793 6.1793 6.1793 134.52 99.87 97.32
Positions (direct):
La1 0.0000 0.0000 0.0000
La2 0.5270 0.0270 0.5000
Cu1 0.1663 0.3405 0.8257
Cu2 0.5148 0.3405 0.1743
Pb1 0.4114 0.6734 0.7380
Pb2 0.9355 0.6734 0.2620



Record 8
Entry from the Alexandria database: a relaxed structure of LaCuPb2 (PBE).

The excess energy over the best structure of this formula in the dataset is 139 meV/atom.

Lattice parameters (Å, degrees): 3.5925 3.7918 8.0193 90.00 90.00 90.00
Positions (direct):
La1 0.0000 0.0000 0.0000
Cu1 0.5000 0.5000 0.7817
Pb1 0.0000 0.0000 0.5782
Pb2 0.5000 0.5000 0.3068



Record 9
Entry from the Alexandria database: a relaxed structure of LaCuPb2 (PBE).

The excess energy over the best structure of this formula in the dataset is 149 meV/atom.

Lattice parameters (Å, degrees): 3.5886 3.7677 7.7300 90.00 90.00 90.00
Positions (direct):
La1 0.0000 0.0000 0.0000
Cu1 0.0000 0.0000 0.5000
Pb1 0.5000 0.5000 0.2986
Pb2 0.5000 0.5000 0.7014



Record 10
Entry from the Alexandria database: a relaxed structure of LaCuPb (PBE).

Lattice parameters (Å, degrees): 5.3756 5.3756 6.5351 90.00 90.00 120.00
Positions (direct):
La1 0.3333 0.6667 0.2500
La2 0.6667 0.3333 0.7500
Cu1 0.0000 0.0000 0.0000
Cu2 0.0000 0.0000 0.5000
Pb1 0.3333 0.6667 0.7500
Pb2 0.6667 0.3333 0.2500



Record 11
Entry from the Alexandria database: a relaxed structure of LaCuPb (PBE).

Lattice parameters (Å, degrees): 8.3841 8.3841 8.3841 33.48 33.48 33.48
Positions (direct):
La1 0.2413 0.2413 0.2413
La2 0.7587 0.7587 0.7587
Cu1 0.3725 0.3725 0.3725
Cu2 0.6275 0.6275 0.6275
Pb1 0.0000 0.0000 0.0000
Pb2 0.5000 0.5000 0.5000



Record 12
Entry from the Alexandria database: a relaxed structure of LaCuPb3 (PBE).

The excess energy over the best structure of this formula in the dataset is 0 meV/atom.

Lattice parameters (Å, degrees): 5.2965 5.2965 5.2965 90.00 90.00 90.00
Positions (direct):
La1 0.0000 0.0000 0.0000
Cu1 0.5000 0.5000 0.5000
Pb1 0.0000 0.5000 0.5000
Pb2 0.5000 0.0000 0.5000
Pb3 0.5000 0.5000 0.0000



Listing total magnetization for the structures above in their given order: 0.00 0.00 0.00 0.00 0.00 0.00 0.00 0.22 0.00 0.00 0.00 0.00 μB/cell.
Listing energy of formation from the pure elements for the structures above in their given order: -432 955 -418 -92 -398 -160 -380 -86 -77 -77 -351 -36 meV per atom.